[1]
Entry from the Alexandria database: crystalline MoAsAuBr2 at its relaxed geometry (PBE).

```
MoAsAuBr2
1.0
5.072 0.000 0.000
0.000 5.072 0.000
0.000 0.000 4.939
Mo As Au Br
1 1 1 2
Cartesian
0.000 0.000 0.000 Mo
0.000 0.000 2.470 As
2.536 2.536 2.470 Au
0.000 2.536 0.000 Br
2.536 0.000 0.000 Br
```

Calculated values
As for the crystal system: tetragonal. As for the space group: P4/mmm, No. 123. As for the total magnetic moment: 0.29 μB/f.u. The energy above the most stable polymorph in this dataset comes out at 0 meV/atom. Its total DFT energy (no corrections) is -3.89 eV/atom. Its raw formation energy is 0.53 eV/atom.

=====

[2]
Entry from the Alexandria database: crystalline NaCo2ReSi at its relaxed geometry (PBE).

```
NaCo2ReSi
1.0
4.618 0.000 0.000
0.000 4.618 0.000
0.000 0.000 4.667
Na Co Re Si
1 2 1 1
Cartesian
0.000 0.000 0.000 Na
0.000 2.309 2.333 Co
2.309 0.000 2.333 Co
2.309 2.309 2.333 Re
2.309 2.309 0.000 Si
```

Calculated values
As for the crystal system: tetragonal. As for the space group: P4/mmm, No. 123. As for the total magnetic moment: 2.85 μB/f.u. Its total DFT energy (no corrections) is -5.72 eV/atom. Its raw formation energy is 0.96 eV/atom.

=====

[3]
Entry from the Alexandria database: crystalline CsNdMg2Br8 at its relaxed geometry (PBE).

```
CsNdMg2Br8
1.0
7.096 0.000 0.000
2.162 6.918 0.000
2.728 2.439 9.383
Cs Nd Mg Br
1 1 2 8
Cartesian
0.000 0.000 0.000 Cs
1.364 1.220 4.691 Nd
4.821 3.630 1.951 Mg
7.163 5.728 7.432 Mg
4.778 6.638 6.901 Br
4.363 6.112 2.773 Br
3.763 2.741 4.213 Br
3.528 2.114 0.333 Br
8.457 7.244 9.049 Br
8.222 6.616 5.170 Br
7.621 3.245 6.610 Br
7.207 2.720 2.482 Br
```

Calculated values
As for the crystal system: triclinic. As for the space group: P-1, No. 2. As for the total magnetic moment: 0.00 μB/f.u. Its total DFT energy (no corrections) is -3.46 eV/atom. Its raw formation energy is -1.61 eV/atom.